CuHg2Ir: relaxed, PBE.

Values from the calculation:
Polymorph energy (0 for the lowest one), meV per atom: 113.4
Formation energy from the elements, eV per atom: 0.45
VASP energy, eV per formula unit: -11.75

a = 2.950 Å, b = 2.950 Å, c = 9.241 Å
α = 90.00°, β = 90.00°, γ = 118.74°
Sites, in units of the cell vectors:
Cu 0.000 0.000 0.000
Hg 0.500 0.500 0.242
Hg 0.500 0.500 0.758
Ir 0.000 0.000 0.500

=====

CuHgIr2: relaxed, PBE.

Values from the calculation:
Polymorph energy (0 for the lowest one), meV per atom: 112.0
Formation energy from the elements, eV per atom: 0.35
VASP energy, eV per formula unit: -20.71

a = 4.684 Å, b = 4.684 Å, c = 5.043 Å
α = 99.19°, β = 99.19°, γ = 35.36°
Sites, in units of the cell vectors:
Cu 0.000 0.000 0.000
Hg 0.755 0.755 0.230
Ir 0.255 0.255 0.731
Ir 0.512 0.512 0.553

=====

CuHg2Ir: relaxed, PBE.

Values from the calculation:
Polymorph energy (0 for the lowest one), meV per atom: 94.8
Formation energy from the elements, eV per atom: 0.43
VASP energy, eV per formula unit: -11.82

a = 2.918 Å, b = 2.918 Å, c = 9.683 Å
α = 90.00°, β = 90.00°, γ = 118.93°
Sites, in units of the cell vectors:
Cu 0.000 0.000 0.000
Hg 0.000 0.000 0.535
Hg 0.500 0.500 0.238
Ir 0.500 0.500 0.789

=====

CuHgIr2: relaxed, PBE.

Values from the calculation:
Polymorph energy (0 for the lowest one), meV per atom: 168.1
Formation energy from the elements, eV per atom: 0.41
VASP energy, eV per formula unit: -20.49

a = 2.816 Å, b = 4.694 Å, c = 4.745 Å
α = 90.00°, β = 90.00°, γ = 90.00°
Sites, in units of the cell vectors:
Cu 0.000 0.000 0.000
Hg 0.500 0.500 0.000
Ir 0.000 0.500 0.500
Ir 0.500 0.000 0.500

=====

Cu2HgIr: relaxed, PBE.

Values from the calculation:
Polymorph energy (0 for the lowest one), meV per atom: 13.6
Formation energy from the elements, eV per atom: 0.25
VASP energy, eV per formula unit: -16.34

a = 9.007 Å, b = 9.007 Å, c = 9.007 Å
α = 17.98°, β = 17.98°, γ = 17.98°
Sites, in units of the cell vectors:
Cu 0.245 0.245 0.245
Cu 0.755 0.755 0.755
Hg 0.000 0.000 0.000
Ir 0.500 0.500 0.500

=====

Cu2HgIr2: relaxed, PBE.

Values from the calculation:
Polymorph energy (0 for the lowest one), meV per atom: 0.0
Formation energy from the elements, eV per atom: 0.37
VASP energy, eV per formula unit: -24.38

a = 7.358 Å, b = 7.358 Å, c = 2.838 Å
α = 90.00°, β = 90.00°, γ = 90.00°
Sites, in units of the cell vectors:
Cu 0.170 0.330 0.000
Cu 0.330 0.830 0.000
Cu 0.670 0.170 0.000
Cu 0.830 0.670 0.000
Hg 0.000 0.000 0.500
Hg 0.500 0.500 0.500
Ir 0.126 0.626 0.500
Ir 0.374 0.126 0.500
Ir 0.626 0.874 0.500
Ir 0.874 0.374 0.500

=====

CuHg2Ir: relaxed, PBE.

Values from the calculation:
Polymorph energy (0 for the lowest one), meV per atom: 14.8
Formation energy from the elements, eV per atom: 0.35
VASP energy, eV per formula unit: -12.14

a = 3.017 Å, b = 3.017 Å, c = 7.850 Å
α = 90.00°, β = 90.00°, γ = 90.00°
Sites, in units of the cell vectors:
Cu 0.000 0.000 0.000
Hg 0.000 0.000 0.563
Hg 0.500 0.500 0.237
Ir 0.500 0.500 0.813

=====

CuHgIr2: relaxed, PBE.

Values from the calculation:
Polymorph energy (0 for the lowest one), meV per atom: 429.4
Formation energy from the elements, eV per atom: 0.67
VASP energy, eV per formula unit: -19.44

a = 9.797 Å, b = 9.797 Å, c = 9.797 Å
α = 157.45°, β = 157.45°, γ = 32.10°
Sites, in units of the cell vectors:
Cu 0.000 0.000 0.000
Cu 0.750 0.250 0.500
Hg 0.250 0.750 0.500
Hg 0.500 0.500 0.000
Ir 0.078 0.625 0.953
Ir 0.375 0.328 0.453
Ir 0.672 0.125 0.047
Ir 0.875 0.922 0.547